# 1
ZnIn2W, optimized geometry, DFT PBE-GGA; density = 10.35 g/cm3; ΔE_f = 0.54 eV per atom; electronic total energy = -4.3893 eV per atom
1.0
3.643 0.000 0.000
0.000 3.643 0.000
0.000 0.000 5.787
Zn In W
1 2 1
Cartesian
0.000 0.000 0.000
0.000 0.000 3.154
1.822 1.822 1.484
1.822 1.822 4.477


# 2
NdCoAg, optimized geometry, DFT PBE-GGA; density = 8.19 g/cm3; ΔE_f = -0.15 eV per atom; electronic total energy = -5.0563 eV per atom
1.0
1.945 -8.353 0.000
1.945 8.353 0.000
0.000 0.000 3.879
Nd Co Ag
2 2 2
Cartesian
1.945 6.661 2.910
1.945 -6.661 0.970
1.945 0.563 2.910
1.945 -0.563 0.970
1.945 3.456 2.910
1.945 -3.456 0.970


# 3
LiZrMo2, optimized geometry, DFT PBE-GGA; density = 7.03 g/cm3; ΔE_f = 0.33 eV per atom; electronic total energy = -7.6967 eV per atom; energy above the lowest structure with this stoichiometry = 0.57 eV per formula unit
1.0
1.638 -2.160 0.000
1.638 2.160 0.000
0.000 0.000 9.686
Li Zr Mo
1 1 2
Cartesian
0.000 0.000 0.000
0.000 0.000 4.843
1.638 0.000 2.354
1.638 0.000 7.332